DFT (GGA-PBE) results for a relaxed ZrMn3V crystal.

Cell: 4.728 4.728 4.728 Å, 90.00 90.00 90.00°
Element x y z (fractional)
Zr 0.000 0.000 0.000
Mn 0.000 0.000 0.500
Mn 0.000 0.500 0.000
Mn 0.500 0.000 0.000
V 0.500 0.500 0.500

***

DFT (GGA-PBE) results for a relaxed ZrMnV crystal.

Cell: 3.046 3.046 9.904 Å, 90.00 90.00 90.00°
Element x y z (fractional)
Zr 0.000 0.000 0.000
Zr 0.500 0.500 0.500
Mn 0.000 0.000 0.680
Mn 0.500 0.500 0.180
V 0.000 0.000 0.306
V 0.500 0.500 0.806

***

DFT (GGA-PBE) results for a relaxed ZrMnV crystal.

Cell: 3.610 10.021 5.335 Å, 90.00 90.00 90.00°
Element x y z (fractional)
Zr 0.000 0.217 0.250
Zr 0.000 0.783 0.750
Zr 0.500 0.283 0.750
Zr 0.500 0.717 0.250
Mn 0.000 0.067 0.750
Mn 0.000 0.933 0.250
Mn 0.500 0.433 0.250
Mn 0.500 0.567 0.750
V 0.000 0.500 0.000
V 0.000 0.500 0.500
V 0.500 0.000 0.000
V 0.500 0.000 0.500

***

DFT (GGA-PBE) results for a relaxed ZrMnV crystal.

Cell: 5.094 3.802 5.221 Å, 90.00 103.74 90.00°
Element x y z (fractional)
Zr 0.059 0.250 0.261
Zr 0.941 0.750 0.739
Mn 0.411 0.750 0.593
Mn 0.589 0.250 0.407
V 0.455 0.250 0.856
V 0.545 0.750 0.144

***

DFT (GGA-PBE) results for a relaxed ZrMnV crystal.

Cell: 10.668 3.105 7.475 Å, 90.00 129.27 90.00°
Element x y z (fractional)
Zr 0.000 0.000 0.000
Zr 0.151 0.000 0.581
Zr 0.500 0.500 0.000
Zr 0.651 0.500 0.581
Mn 0.187 0.500 0.936
Mn 0.244 0.500 0.344
Mn 0.687 0.000 0.936
Mn 0.744 0.000 0.344
V 0.372 0.000 0.193
V 0.428 0.000 0.598
V 0.872 0.500 0.193
V 0.928 0.500 0.598

***

DFT (GGA-PBE) results for a relaxed ZrMn2V2 crystal.

Cell: 3.929 3.929 9.681 Å, 90.00 90.00 90.00°
Element x y z (fractional)
Zr 0.000 0.000 0.000
Zr 0.500 0.500 0.500
Mn 0.000 0.000 0.386
Mn 0.000 0.000 0.614
Mn 0.500 0.500 0.114
Mn 0.500 0.500 0.886
V 0.000 0.500 0.250
V 0.000 0.500 0.750
V 0.500 0.000 0.250
V 0.500 0.000 0.750

***

DFT (GGA-PBE) results for a relaxed ZrMnV crystal.

Cell: 10.404 3.983 4.530 Å, 90.00 92.26 90.00°
Element x y z (fractional)
Zr 0.091 0.000 0.261
Zr 0.409 0.500 0.739
Zr 0.591 0.500 0.261
Zr 0.909 0.000 0.739
Mn 0.237 0.000 0.759
Mn 0.263 0.500 0.241
Mn 0.737 0.500 0.759
Mn 0.763 0.000 0.241
V 0.117 0.500 0.769
V 0.383 0.000 0.231
V 0.617 0.000 0.769
V 0.883 0.500 0.231

***

DFT (GGA-PBE) results for a relaxed ZrMn3V crystal.

Cell: 4.297 4.297 4.297 Å, 90.00 90.00 90.00°
Element x y z (fractional)
Zr 0.000 0.000 0.000
Mn 0.000 0.500 0.500
Mn 0.500 0.000 0.500
Mn 0.500 0.500 0.000
V 0.500 0.500 0.500

***

Offset from the most stable computed form / eV per atom: 1.004; 0.163; 0.095; 0.225; 0.230; 0.000; 0.228; 0.000
Magnetization / μB per atom: 2.49; 0.00; 0.00; 0.00; 0.00; 0.00; 0.00; 0.83
Energy relative to the elements / eV per atom: 1.61; -0.01; -0.08; 0.05; 0.06; 0.04; 0.06; 0.60